AlTl2Ge2 | PBE-GGA | relaxed

POSCAR file:
```
AlTl2Ge2
1.0
6.8020 0.0000 0.0000
0.0000 6.8020 0.0000
0.0000 0.0000 5.2879
Al Tl Ge
2 4 4
Direct
0.0000 0.0000 0.0000
0.5000 0.5000 0.0000
0.1807 0.3193 0.5000
0.3193 0.8193 0.5000
0.6807 0.1807 0.5000
0.8193 0.6807 0.5000
0.1323 0.6323 0.0000
0.3677 0.1323 0.0000
0.6323 0.8677 0.0000
0.8677 0.3677 0.0000
```

## Properties
Symmetry: P4/mbm, No. 127
Fermi-level density of states (states/eV/atom): 0.496
Uncorrected energy (eV for the cell shown): -33.8
Total moment (μB per formula unit): 0.000
Density (Mg/m³): 7.89